--- one ---
Compound: Tb2ErGa
Source: Alexandria via LeMat-Bulk
Functional: PBE-GGA
Structure: optimized geometry

Geometry as CIF:
```
data_Tb2ErGa
_chemical_formula_sum 'Tb2 Er1 Ga1'
_cell_length_a 3.519
_cell_length_b 3.519
_cell_length_c 8.894
_cell_angle_alpha 90.00
_cell_angle_beta 90.00
_cell_angle_gamma 90.00
_space_group_name_H-M_alt 'P 4/m m m'
_space_group_IT_number 123
_space_group_name_Hall '-P 4 2'
loop_
_atom_site_label
_atom_site_type_symbol
_atom_site_fract_x
_atom_site_fract_y
_atom_site_fract_z
_atom_site_occupancy
Tb1 Tb 0.000 0.000 0.211 1
Er1 Er 0.500 0.500 0.500 1
Ga1 Ga 0.500 0.500 0.000 1
```

--- two ---
Compound: Tb2ErGa
Source: Alexandria via LeMat-Bulk
Functional: PBE-GGA
Structure: optimized geometry

Geometry as CIF:
```
data_Tb2ErGa
_chemical_formula_sum 'Tb8 Er4 Ga4'
_cell_length_a 3.637
_cell_length_b 12.750
_cell_length_c 9.610
_cell_angle_alpha 90.00
_cell_angle_beta 90.00
_cell_angle_gamma 90.00
_space_group_name_H-M_alt 'C m c m'
_space_group_IT_number 63
_space_group_name_Hall '-C 2c 2'
loop_
_atom_site_label
_atom_site_type_symbol
_atom_site_fract_x
_atom_site_fract_y
_atom_site_fract_z
_atom_site_occupancy
Tb1 Tb 0.000 0.135 0.049 1
Er1 Er 0.000 0.445 0.250 1
Ga1 Ga 0.000 0.243 0.750 1
```

--- three ---
Compound: Tb2ErGa
Source: Alexandria via LeMat-Bulk
Functional: PBE-GGA
Structure: optimized geometry

Geometry as CIF:
```
data_Tb2ErGa
_chemical_formula_sum 'Tb8 Er4 Ga4'
_cell_length_a 7.517
_cell_length_b 7.517
_cell_length_c 7.517
_cell_angle_alpha 90.00
_cell_angle_beta 90.00
_cell_angle_gamma 90.00
_space_group_name_H-M_alt 'F m -3 m'
_space_group_IT_number 225
_space_group_name_Hall '-F 4 2 3'
loop_
_atom_site_label
_atom_site_type_symbol
_atom_site_fract_x
_atom_site_fract_y
_atom_site_fract_z
_atom_site_occupancy
Tb1 Tb 0.250 0.250 0.250 1
Er1 Er 0.000 0.000 0.000 1
Ga1 Ga 0.000 0.000 0.500 1
```

--- four ---
Compound: Tb2ErGa
Source: Alexandria via LeMat-Bulk
Functional: PBE-GGA
Structure: optimized geometry

Geometry as CIF:
```
data_Tb2ErGa
_chemical_formula_sum 'Tb2 Er1 Ga1'
_cell_length_a 4.720
_cell_length_b 4.720
_cell_length_c 4.722
_cell_angle_alpha 90.00
_cell_angle_beta 90.00
_cell_angle_gamma 90.00
_space_group_name_H-M_alt 'P 4/m m m'
_space_group_IT_number 123
_space_group_name_Hall '-P 4 2'
loop_
_atom_site_label
_atom_site_type_symbol
_atom_site_fract_x
_atom_site_fract_y
_atom_site_fract_z
_atom_site_occupancy
Tb1 Tb 0.000 0.500 0.000 1
Er1 Er 0.000 0.000 0.500 1
Ga1 Ga 0.500 0.500 0.500 1
```

two (0.010 eV/atom below the next structure)

--- one ---
Compound: Tb2Er3Ga4
Source: Alexandria via LeMat-Bulk
Functional: PBE-GGA
Structure: optimized geometry

Geometry as CIF:
```
data_Tb2Er3Ga4
_chemical_formula_sum 'Tb4 Er6 Ga8'
_cell_length_a 7.888
_cell_length_b 7.928
_cell_length_c 7.382
_cell_angle_alpha 90.00
_cell_angle_beta 106.55
_cell_angle_gamma 90.00
_space_group_name_H-M_alt 'P 1 21/c 1'
_space_group_IT_number 14
loop_
_space_group_symop_operation_xyz
'x,y,z'
'-x,-y,-z'
'-x,y+1/2,-z+1/2'
'x,-y+1/2,z+1/2'
loop_
_atom_site_label
_atom_site_type_symbol
_atom_site_fract_x
_atom_site_fract_y
_atom_site_fract_z
_atom_site_occupancy
Tb1 Tb 0.190 0.184 0.073 1
Er1 Er 0.239 0.675 0.251 1
Er2 Er 0.500 0.000 0.500 1
Ga1 Ga 0.081 0.529 0.863 1
Ga2 Ga 0.489 0.124 0.878 1
```

--- two ---
Compound: Tb2Er3Ga4
Source: Alexandria via LeMat-Bulk
Functional: PBE-GGA
Structure: optimized geometry

Geometry as CIF:
```
data_Tb2Er3Ga4
_chemical_formula_sum 'Tb8 Er12 Ga16'
_cell_length_a 6.821
_cell_length_b 15.490
_cell_length_c 8.548
_cell_angle_alpha 90.00
_cell_angle_beta 90.00
_cell_angle_gamma 90.00
_space_group_name_H-M_alt 'C m c e'
_space_group_IT_number 64
_space_group_name_Hall '-C 2ac 2'
loop_
_atom_site_label
_atom_site_type_symbol
_atom_site_fract_x
_atom_site_fract_y
_atom_site_fract_z
_atom_site_occupancy
Tb1 Tb 0.000 0.108 0.081 1
Er1 Er 0.000 0.000 0.500 1
Er2 Er 0.250 0.213 0.750 1
Ga1 Ga 0.000 0.189 0.459 1
Ga2 Ga 0.250 0.027 0.750 1
```

one (0.175 eV/atom below the next structure)

--- one ---
Compound: TbEr2Ga6
Source: Alexandria via LeMat-Bulk
Functional: PBE-GGA
Structure: optimized geometry

Geometry as CIF:
```
data_TbEr2Ga6
_chemical_formula_sum 'Tb2 Er4 Ga12'
_cell_length_a 4.286
_cell_length_b 6.961
_cell_length_c 13.264
_cell_angle_alpha 90.00
_cell_angle_beta 90.00
_cell_angle_gamma 90.00
_space_group_name_H-M_alt 'I m m m'
_space_group_IT_number 71
_space_group_name_Hall '-I 2 2'
loop_
_atom_site_label
_atom_site_type_symbol
_atom_site_fract_x
_atom_site_fract_y
_atom_site_fract_z
_atom_site_occupancy
Tb1 Tb 0.000 0.000 0.000 1
Er1 Er 0.000 0.500 0.125 1
Ga1 Ga 0.000 0.189 0.500 1
Ga2 Ga 0.000 0.306 0.315 1
```

--- two ---
Compound: TbEr2Ga6
Source: Alexandria via LeMat-Bulk
Functional: PBE-GGA
Structure: optimized geometry

Geometry as CIF:
```
data_TbEr2Ga6
_chemical_formula_sum 'Tb1 Er2 Ga6'
_cell_length_a 7.4604
_cell_length_b 7.4604
_cell_length_c 3.7969
_cell_angle_alpha 90.00
_cell_angle_beta 90.00
_cell_angle_gamma 120.00
_space_group_name_H-M_alt 'P 6/m m m'
_space_group_IT_number 191
_space_group_name_Hall '-P 6 2'
loop_
_atom_site_label
_atom_site_type_symbol
_atom_site_fract_x
_atom_site_fract_y
_atom_site_fract_z
_atom_site_occupancy
Tb1 Tb 0.0000 0.0000 0.0000 1
Er1 Er 0.3333 0.6667 0.0000 1
Ga1 Ga 0.0000 0.3340 0.5000 1
```

two (0.152 eV/atom below the next structure)

--- one ---
Compound: Tb2ErGa6
Source: Alexandria via LeMat-Bulk
Functional: PBE-GGA
Structure: optimized geometry

Geometry as CIF:
```
data_Tb2ErGa6
_chemical_formula_sum 'Tb2 Er1 Ga6'
_cell_length_a 7.4630
_cell_length_b 7.4630
_cell_length_c 3.8392
_cell_angle_alpha 90.00
_cell_angle_beta 90.00
_cell_angle_gamma 120.00
_space_group_name_H-M_alt 'P 6/m m m'
_space_group_IT_number 191
_space_group_name_Hall '-P 6 2'
loop_
_atom_site_label
_atom_site_type_symbol
_atom_site_fract_x
_atom_site_fract_y
_atom_site_fract_z
_atom_site_occupancy
Tb1 Tb 0.3333 0.6667 0.0000 1
Er1 Er 0.0000 0.0000 0.0000 1
Ga1 Ga 0.0000 0.3327 0.5000 1
```

--- two ---
Compound: Tb2ErGa6
Source: Alexandria via LeMat-Bulk
Functional: PBE-GGA
Structure: optimized geometry

Geometry as CIF:
```
data_Tb2ErGa6
_chemical_formula_sum 'Tb4 Er2 Ga12'
_cell_length_a 4.307
_cell_length_b 6.955
_cell_length_c 13.406
_cell_angle_alpha 90.00
_cell_angle_beta 90.00
_cell_angle_gamma 90.00
_space_group_name_H-M_alt 'I m m m'
_space_group_IT_number 71
_space_group_name_Hall '-I 2 2'
loop_
_atom_site_label
_atom_site_type_symbol
_atom_site_fract_x
_atom_site_fract_y
_atom_site_fract_z
_atom_site_occupancy
Tb1 Tb 0.000 0.000 0.126 1
Er1 Er 0.000 0.500 0.000 1
Ga1 Ga 0.000 0.192 0.316 1
Ga2 Ga 0.000 0.308 0.500 1
```

one (0.182 eV/atom below the next structure)

--- one ---
Compound: TbEr2Ga2
Source: Alexandria via LeMat-Bulk
Functional: PBE-GGA
Structure: optimized geometry

Geometry as CIF:
```
data_TbEr2Ga2
_chemical_formula_sum 'Tb2 Er4 Ga4'
_cell_length_a 6.341
_cell_length_b 6.344
_cell_length_c 7.058
_cell_angle_alpha 90.00
_cell_angle_beta 116.32
_cell_angle_gamma 90.00
_space_group_name_H-M_alt 'C 1 2/m 1'
_space_group_IT_number 12
loop_
_space_group_symop_operation_xyz
'x,y,z'
'-x,-y,-z'
'-x,y,-z'
'x,-y,z'
'x+1/2,y+1/2,z'
'-x+1/2,-y+1/2,-z'
'-x+1/2,y+1/2,-z'
'x+1/2,-y+1/2,z'
loop_
_atom_site_label
_atom_site_type_symbol
_atom_site_fract_x
_atom_site_fract_y
_atom_site_fract_z
_atom_site_occupancy
Tb1 Tb 0.000 0.000 0.000 1
Er1 Er 0.000 0.250 0.500 1
Ga1 Ga 0.099 0.500 0.192 1
```

--- two ---
Compound: TbEr2Ga2
Source: Alexandria via LeMat-Bulk
Functional: PBE-GGA
Structure: optimized geometry

Geometry as CIF:
```
data_TbEr2Ga2
_chemical_formula_sum 'Tb2 Er4 Ga4'
_cell_length_a 7.635
_cell_length_b 7.635
_cell_length_c 4.278
_cell_angle_alpha 90.00
_cell_angle_beta 90.00
_cell_angle_gamma 90.00
_space_group_name_H-M_alt 'P 4/m b m'
_space_group_IT_number 127
_space_group_name_Hall '-P 4 2ab'
loop_
_atom_site_label
_atom_site_type_symbol
_atom_site_fract_x
_atom_site_fract_y
_atom_site_fract_z
_atom_site_occupancy
Tb1 Tb 0.000 0.000 0.000 1
Er1 Er 0.174 0.326 0.500 1
Ga1 Ga 0.120 0.620 0.000 1
```

two (0.126 eV/atom below the next structure)

--- one ---
Compound: Er2Ga3Tc
Source: Alexandria via LeMat-Bulk
Functional: PBE-GGA
Structure: optimized geometry

Geometry as CIF:
```
data_Er2Ga3Tc
_chemical_formula_sum 'Er4 Ga6 Tc2'
_cell_length_a 4.644
_cell_length_b 5.378
_cell_length_c 9.919
_cell_angle_alpha 90.00
_cell_angle_beta 90.00
_cell_angle_gamma 90.00
_space_group_name_H-M_alt 'I m m m'
_space_group_IT_number 71
_space_group_name_Hall '-I 2 2'
loop_
_atom_site_label
_atom_site_type_symbol
_atom_site_fract_x
_atom_site_fract_y
_atom_site_fract_z
_atom_site_occupancy
Er1 Er 0.000 0.000 0.200 1
Ga1 Ga 0.000 0.500 0.125 1
Ga2 Ga 0.000 0.500 0.500 1
Tc1 Tc 0.000 0.000 0.500 1
```

--- two ---
Compound: Er2Ga3Tc
Source: Alexandria via LeMat-Bulk
Functional: PBE-GGA
Structure: optimized geometry

Geometry as CIF:
```
data_Er2Ga3Tc
_chemical_formula_sum 'Er6 Ga9 Tc3'
_cell_length_a 5.4677
_cell_length_b 5.4677
_cell_length_c 13.0531
_cell_angle_alpha 90.00
_cell_angle_beta 90.00
_cell_angle_gamma 120.00
_space_group_name_H-M_alt 'R -3 m'
_space_group_IT_number 166
_space_group_name_Hall '-R 3 2"'
loop_
_atom_site_label
_atom_site_type_symbol
_atom_site_fract_x
_atom_site_fract_y
_atom_site_fract_z
_atom_site_occupancy
Er1 Er 0.0000 0.0000 0.1288 1
Ga1 Ga 0.0000 0.5000 0.0000 1
Tc1 Tc 0.0000 0.0000 0.5000 1
```

two (0.262 eV/atom below the next structure)